# Ba2ZrTl (PBE, optimized geometry)
# excess energy over the best structure of this formula in the dataset	3.42	kcal/mol of atoms
# ΔE_f	282	meV/atom
data_Ba2ZrTl
_chemical_formula_sum 'Ba4 Zr2 Tl2'
_symmetry_space_group_name_H-M 'C m m m'
_symmetry_Int_Tables_number 65
_symmetry_space_group_name_Hall '-C 2 2'
_cell_length_a 5.280
_cell_length_b 5.288
_cell_length_c 10.499
_cell_angle_alpha 90.00
_cell_angle_beta 90.00
_cell_angle_gamma 90.00
loop_
_atom_site_label
_atom_site_type_symbol
_atom_site_fract_x
_atom_site_fract_y
_atom_site_fract_z
Ba1 Ba 0.000 0.000 0.245
Zr1 Zr 0.000 0.500 0.500
Tl1 Tl 0.000 0.500 0.000